[1]
An optimized crystal structure of HoErO. Source: Alexandria via LeMat-Bulk, functional GGA-PBE.

## Properties
space group = P3m1

Lattice parameters (Å, degrees): 3.497 3.497 5.660 90.00 90.00 120.00
Positions (direct):
Ho: 0.000 0.000 0.905
O: 0.333 0.667 0.664
Er: 0.667 0.333 0.431

=====

[2]
An optimized crystal structure of Ho2ErOsO8. Source: Alexandria via LeMat-Bulk, functional GGA-PBE.

## Properties
space group = Cmmm

Lattice parameters (Å, degrees): 5.017 5.012 6.724 90.00 90.00 90.55
Each line ends with the local moment (μB).
Positions (direct):
O: 0.693 0.694 0.500  0.00
Ho: 0.500 0.500 0.746  0.03
Er: 0.000 0.000 0.500  0.05
O: 0.817 0.184 0.212  0.06
Os: 0.000 0.000 0.000  0.70
O: 0.307 0.306 0.500  0.00
O: 0.266 0.266 0.000  -0.01
O: 0.817 0.184 0.788  0.06
O: 0.183 0.816 0.212  0.06
O: 0.734 0.734 0.000  -0.01
O: 0.183 0.816 0.788  0.06
Ho: 0.500 0.500 0.254  0.03

=====

[3]
An optimized crystal structure of HoErPuO6. Source: Alexandria via LeMat-Bulk, functional GGA-PBE.

## Properties
space group = P-31c

Lattice parameters (Å, degrees): 5.681 5.681 9.398 90.00 90.00 120.00
Each line ends with the local moment (μB).
Positions (direct):
Ho: 0.000 0.000 0.000  -0.01
Pu: 0.667 0.333 0.250  2.46
O: 0.977 0.645 0.367  -0.07
Er: 0.667 0.333 0.750  0.01
O: 0.355 0.332 0.367  -0.07
O: 0.977 0.332 0.133  -0.07
Pu: 0.333 0.667 0.750  2.46
O: 0.668 0.023 0.367  -0.07
O: 0.023 0.355 0.633  -0.07
O: 0.023 0.668 0.867  -0.07
O: 0.332 0.355 0.867  -0.07
O: 0.355 0.023 0.133  -0.07
Ho: 0.000 0.000 0.500  -0.01
O: 0.645 0.668 0.633  -0.07
O: 0.668 0.645 0.133  -0.07
O: 0.332 0.977 0.633  -0.07
O: 0.645 0.977 0.867  -0.07
Er: 0.333 0.667 0.250  0.01

=====

| no. | raw formation energy (meV/atom) |
| --- | --- |
| 1 | -1808 |
| 2 | -2560 |
| 3 | -3077 |